Density functional theory data (PBE+U) for Li4Mn3CoO8 after structural relaxation.

The energy relative to the lowest polymorph listed for this composition is 0.0041 eV/atom. As for the space-group type: P2/m (10). Its total energy is -6.36 eV per atom.

a = 2.8589 Å, b = 5.3692 Å, c = 9.9145 Å
α = 85.25°, β = 90.00°, γ = 90.00°
Last column: magnetic moment on the atom in μB.
Fractional positions:
Co 0.0000 0.0000 0.0000  1.97
O 0.0000 0.1269 0.6386  0.01
Mn 0.0000 0.5000 0.5000  3.86
O 0.0000 0.6361 0.1341  0.03
O 0.5000 0.1166 0.1094  0.00
O 0.0000 0.8731 0.3614  0.01
O 0.0000 0.3639 0.8659  0.03
Li 0.0000 0.2509 0.2507  0.00
Li 0.5000 0.5000 0.0000  0.00
Li 0.0000 0.7491 0.7493  0.00
O 0.5000 0.3812 0.3865  0.01
Mn 0.5000 0.7573 0.2466  3.85
O 0.5000 0.6188 0.6135  0.01
Li 0.5000 0.0000 0.5000  0.00
Mn 0.5000 0.2427 0.7534  3.85
O 0.5000 0.8834 0.8906  0.00